CeYHgOs: optimized geometry, PBE.

Cell lengths 7.1851, 7.1851, 7.1851 Å; angles 90.00, 90.00, 90.00 degrees
Space group F-43m (No. 216)
Inequivalent atoms, fractional coordinates:
Ce  0.0000  0.0000  0.0000 [4 per cell]
Y  0.0000  0.0000  0.5000 [4 per cell]
Hg  0.2500  0.2500  0.7500 [4 per cell]
Os  0.2500  0.2500  0.2500 [4 per cell]

Computed properties:
M_tot: 0.060 μB/atom
ΔE to the lowest computed polymorph: 144.0 meV/atom
DFT formation energy: -17.4 kJ per mole of atoms